Entry from Alexandria via LeMat-Bulk: crystalline Li9Mg2Cd at its relaxed geometry (PBE).

Cell: 5.3819 5.3819 9.0522 Å, 94.29 94.29 62.92°
Last column: nearest neighbours and their distance in Å.
Atoms (fractional coordinates):
1 Li 0.0000 0.0000 0.0000  6 Li 2.73-2.79
2 Li 0.1769 0.1769 0.2589  5 Li 2.64-2.75, 1 Cd 2.83
3 Li 0.1766 0.6650 0.2446  5 Li 2.64-2.87, 1 Cd 2.76
4 Li 0.3326 0.3326 0.5695  9 Li 3.03-3.38, 3 Cd 3.06-3.29, 1 Mg 3.36
5 Li 0.3350 0.8234 0.7554  5 Li 2.64-2.87, 1 Cd 2.76
6 Li 0.6650 0.1766 0.2446  5 Li 2.64-2.87, 1 Cd 2.76
7 Li 0.6674 0.6674 0.4305  9 Li 3.03-3.38, 3 Cd 3.06-3.29, 1 Mg 3.36
8 Li 0.8234 0.3350 0.7554  5 Li 2.64-2.87, 1 Cd 2.76
9 Li 0.8231 0.8231 0.7411  5 Li 2.64-2.75, 1 Cd 2.83
10 Mg 0.3312 0.3312 0.9408  13 Li 3.09-3.36, 3 Mg 3.19-3.40
11 Mg 0.6688 0.6688 0.0592  13 Li 3.09-3.36, 3 Mg 3.19-3.40
12 Cd 0.0000 0.0000 0.5000  8 Li 2.76-3.06

Results
Its symmetry is C2/m. The formation energy from the elements comes out at -31 meV per atom.

Entry from Alexandria via LeMat-Bulk: crystalline ErTlIr at its relaxed geometry (PBE).

Cell: 7.1492 4.1792 8.7962 Å, 90.00 90.00 90.00°
Last column: nearest neighbours and their distance in Å.
Atoms (fractional coordinates):
1 Er 0.0388 0.2500 0.1748  5 Ir 2.89-3.15, 2 Tl 3.22
2 Er 0.4612 0.7500 0.6748  5 Ir 2.89-3.15, 2 Tl 3.22
3 Er 0.5388 0.2500 0.3252  5 Ir 2.89-3.15, 2 Tl 3.22
4 Er 0.9612 0.7500 0.8252  5 Ir 2.89-3.15, 2 Tl 3.22
5 Tl 0.1465 0.2500 0.5631  4 Ir 2.76-3.01
6 Tl 0.3535 0.7500 0.0631  4 Ir 2.76-3.01
7 Tl 0.6465 0.2500 0.9369  4 Ir 2.76-3.01
8 Tl 0.8535 0.7500 0.4369  4 Ir 2.76-3.01
9 Ir 0.2343 0.2500 0.8688  4 Tl 2.76-3.01, 3 Er 2.89-3.03
10 Ir 0.2657 0.7500 0.3688  4 Tl 2.76-3.01, 3 Er 2.89-3.03
11 Ir 0.7343 0.2500 0.6312  4 Tl 2.76-3.01, 3 Er 2.89-3.03
12 Ir 0.7657 0.7500 0.1312  4 Tl 2.76-3.01, 3 Er 2.89-3.03

Results
Its symmetry is Pnma. The formation energy from the elements comes out at -457 meV per atom.

Entry from Alexandria via LeMat-Bulk: crystalline Li3Tb4YSe8 at its relaxed geometry (PBE).

Cell: 8.0877 8.0877 8.0877 Å, 60.26 60.26 60.26°
Last column: nearest neighbours and their distance in Å.
Atoms (fractional coordinates):
1 Li 0.0000 0.5000 0.5000  6 Se 2.82-2.85
2 Li 0.5000 0.0000 0.5000  6 Se 2.82-2.85
3 Li 0.5000 0.5000 0.0000  6 Se 2.82-2.85
4 Tb 0.0000 0.0000 0.5000  6 Se 2.88-2.91
5 Tb 0.0000 0.5000 0.0000  6 Se 2.88-2.91
6 Tb 0.5000 0.0000 0.0000  6 Se 2.88-2.91
7 Tb 0.5000 0.5000 0.5000  6 Se 2.87
8 Y 0.0000 0.0000 0.0000  6 Se 2.86
9 Se 0.2497 0.2497 0.7428  2 Li 2.82, 1 Y 2.86, 3 Tb 2.87-2.91
10 Se 0.2497 0.7428 0.2497  2 Li 2.82, 1 Y 2.86, 3 Tb 2.87-2.91
11 Se 0.2517 0.2517 0.2517  3 Li 2.85, 3 Tb 2.88
12 Se 0.2572 0.7503 0.7503  2 Li 2.82, 1 Y 2.86, 3 Tb 2.87-2.91
13 Se 0.7428 0.2497 0.2497  2 Li 2.82, 1 Y 2.86, 3 Tb 2.87-2.91
14 Se 0.7483 0.7483 0.7483  3 Li 2.85, 3 Tb 2.88
15 Se 0.7503 0.2572 0.7503  2 Li 2.82, 1 Y 2.86, 3 Tb 2.87-2.91
16 Se 0.7503 0.7503 0.2572  2 Li 2.82, 1 Y 2.86, 3 Tb 2.87-2.91

Results
Its formation energy from raw total energies is -1.731 eV/atom. Its symmetry is R-3m.

Entry from Alexandria via LeMat-Bulk: crystalline Ni2RuBr at its relaxed geometry (PBE).

Cell: 4.7437 4.7437 4.7437 Å, 132.62 132.62 69.25°
Last column: nearest neighbours and their distance in Å.
Atoms (fractional coordinates):
1 Ni 0.2500 0.7500 0.5000  4 Ni 2.70, 4 Br 2.73, 4 Ru 2.73
2 Ni 0.7500 0.2500 0.5000  4 Ni 2.70, 4 Br 2.73, 4 Ru 2.73
3 Ru 0.0000 0.0000 0.0000  4 Br 2.70, 8 Ni 2.73
4 Br 0.5000 0.5000 0.0000  4 Ru 2.70, 8 Ni 2.73

Results
Its formation energy from raw total energies is 0.853 eV/atom. Its symmetry is I4/mmm. The value obtained for the polymorph energy (0 for the lowest one) is 0.369 eV/atom.

no.,size of the total moment (μB per cell),D(E_F) (states/eV/f.u.)
1,0.000,5.65
2,0.000,1.42
3,0.000,3.77
4,2.642,5.04